Record 1
{
  "formula": "TbIrNO",
  "functional": "PBE",
  "state": "relaxed",
  "cell": [[4.192, 0.000, 0.000], [0.000, 6.432, 0.000], [0.000, 0.000, 4.736]],
  "species": ["Tb", "Tb", "Ir", "Ir", "N", "N", "O", "O"],
  "frac_coords": [[0.000, 0.202, 0.000], [0.000, 0.798, 0.500], [0.500, 0.413, 0.489], [0.500, 0.587, 0.989], [0.500, 0.304, 0.867], [0.500, 0.696, 0.367], [0.000, 0.136, 0.466], [0.000, 0.864, 0.966]],
  "volume_a3_per_atom": 15.962,
  "relative_energy_mev_per_atom": 470,
  "m_tot_mub_per_fu": 0.0,
  "sg": "Pmc2_1, No. 26"
}


Record 2
{
  "formula": "TbIrNO",
  "functional": "PBE",
  "state": "relaxed",
  "cell": [[3.934, 0.000, 0.000], [0.000, 3.934, 0.000], [0.000, 0.000, 7.304]],
  "species": ["Tb", "Tb", "Ir", "Ir", "N", "N", "O", "O"],
  "frac_coords": [[0.250, 0.250, 0.149], [0.750, 0.750, 0.851], [0.250, 0.750, 0.500], [0.750, 0.250, 0.500], [0.250, 0.250, 0.609], [0.750, 0.750, 0.391], [0.250, 0.750, 0.000], [0.750, 0.250, 0.000]],
  "volume_a3_per_atom": 14.127,
  "relative_energy_mev_per_atom": 324,
  "m_tot_mub_per_fu": 0.0,
  "sg": "P4/nmm, No. 129"
}


Record 3
{
  "formula": "TbIrNO",
  "functional": "PBE",
  "state": "relaxed",
  "cell": [[4.929, 0.000, 0.000], [0.000, 4.929, 0.000], [0.000, 0.000, 4.301]],
  "species": ["Tb", "Tb", "Ir", "Ir", "N", "N", "O", "O"],
  "frac_coords": [[0.250, 0.750, 0.000], [0.750, 0.250, 0.000], [0.250, 0.250, 0.497], [0.750, 0.750, 0.503], [0.250, 0.250, 0.997], [0.750, 0.750, 0.003], [0.250, 0.750, 0.500], [0.750, 0.250, 0.500]],
  "volume_a3_per_atom": 13.060,
  "relative_energy_mev_per_atom": 765,
  "m_tot_mub_per_fu": 0.1,
  "sg": "P4/nmm, No. 129"
}


Record 4
{
  "formula": "TcIrNO",
  "functional": "PBE",
  "state": "relaxed",
  "cell": [[5.106, 0.000, 0.000], [0.000, 7.596, 0.000], [0.000, 0.000, 4.832]],
  "species": ["Tc", "Tc", "Tc", "Tc", "Ir", "Ir", "Ir", "Ir", "N", "N", "N", "N", "O", "O", "O", "O"],
  "frac_coords": [[0.116, 0.171, 0.000], [0.384, 0.171, 0.500], [0.616, 0.829, 0.000], [0.884, 0.829, 0.500], [0.028, 0.573, 0.108], [0.472, 0.573, 0.608], [0.528, 0.427, 0.108], [0.972, 0.427, 0.608], [0.106, 0.664, 0.722], [0.394, 0.664, 0.222], [0.606, 0.336, 0.722], [0.894, 0.336, 0.222], [0.105, 0.025, 0.651], [0.395, 0.025, 0.151], [0.605, 0.975, 0.651], [0.895, 0.975, 0.151]],
  "volume_a3_per_atom": 11.714,
  "relative_energy_mev_per_atom": 104,
  "m_tot_mub_per_fu": 0.0,
  "sg": "Pca2_1, No. 29"
}


Record 5
{
  "formula": "TcIrNO",
  "functional": "PBE",
  "state": "relaxed",
  "cell": [[3.713, 0.000, 0.000], [0.000, 3.713, 0.000], [0.000, 0.000, 6.301]],
  "species": ["Tc", "Tc", "Ir", "Ir", "N", "N", "O", "O"],
  "frac_coords": [[0.250, 0.250, 0.162], [0.750, 0.750, 0.838], [0.250, 0.750, 0.500], [0.750, 0.250, 0.500], [0.250, 0.250, 0.682], [0.750, 0.750, 0.318], [0.250, 0.750, 0.000], [0.750, 0.250, 0.000]],
  "volume_a3_per_atom": 10.860,
  "relative_energy_mev_per_atom": 653,
  "m_tot_mub_per_fu": 0.1,
  "sg": "P4/nmm, No. 129"
}


Record 6
{
  "formula": "TcIrNO",
  "functional": "PBE",
  "state": "relaxed",
  "cell": [[3.779, 0.000, 0.000], [0.000, 3.779, 0.000], [0.000, 0.000, 6.150]],
  "species": ["Tc", "Tc", "Ir", "Ir", "N", "N", "O", "O"],
  "frac_coords": [[0.250, 0.750, 0.000], [0.750, 0.250, 0.000], [0.250, 0.250, 0.328], [0.750, 0.750, 0.672], [0.250, 0.250, 0.862], [0.750, 0.750, 0.138], [0.250, 0.750, 0.500], [0.750, 0.250, 0.500]],
  "volume_a3_per_atom": 10.980,
  "relative_energy_mev_per_atom": 455,
  "m_tot_mub_per_fu": 0.0,
  "sg": "P4/nmm, No. 129"
}